Entry 1:
La2BeCuAu6 | PBE | optimized geometry

Properties
Spin magnetization, μB per formula unit: 0.000
ρ, Mg/m³: 11.9
Fermi-level density of states, states/eV/cell: 5.30
E_tot, eV per atom: -4.208
Calculated formation energy, eV/atom: -0.473

a b c (Å): 6.297 6.416 6.998
angles (deg): 65.61 63.38 60.70
Space group P-1 (No. 2)
Unique sites:
1 La 0.217 0.235 0.330 (multiplicity 2)
2 Be 0.000 0.000 0.000 (multiplicity 1)
3 Cu 0.500 0.500 0.500 (multiplicity 1)
4 Au 0.245 0.659 0.854 (multiplicity 2)
5 Au 0.259 0.221 0.792 (multiplicity 2)
6 Au 0.273 0.780 0.207 (multiplicity 2)



Entry 2:
LiBe2CuAu4 | PBE | optimized geometry

Properties
Spin magnetization, μB per formula unit: 0.000
ρ, Mg/m³: 11.0
Fermi-level density of states, states/eV/cell: 2.18
E_tot, eV per atom: -3.303
Calculated formation energy, eV/atom: 0.018

a b c (Å): 3.937 3.937 8.526
angles (deg): 90.00 90.00 90.00
Space group P4/mmm (No. 123)
Unique sites:
1 Li 0.000 0.000 0.000 (multiplicity 1)
2 Be 0.500 0.500 0.377 (multiplicity 2)
3 Cu 0.000 0.000 0.500 (multiplicity 1)
4 Au 0.000 0.500 0.234 (multiplicity 4)



Entry 3:
BeNb2CuAu | PBE | optimized geometry

Properties
Spin magnetization, μB per formula unit: 0.000
ρ, Mg/m³: 9.2
Fermi-level density of states, states/eV/cell: 3.38
E_tot, eV per atom: -5.726
Calculated formation energy, eV/atom: 0.522

a b c (Å): 4.412 4.412 4.228
angles (deg): 90.00 90.00 90.00
Space group P4/mmm (No. 123)
Unique sites:
1 Be 0.000 0.000 0.000 (multiplicity 1)
2 Nb 0.000 0.500 0.000 (multiplicity 2)
3 Cu 0.500 0.500 0.500 (multiplicity 1)
4 Au 0.000 0.000 0.500 (multiplicity 1)



Entry 4:
NdBe2CuAu5 | PBE | optimized geometry

Properties
Spin magnetization, μB per formula unit: 0.000
ρ, Mg/m³: 12.8
Fermi-level density of states, states/eV/cell: 3.79
E_tot, eV per atom: -3.865
Calculated formation energy, eV/atom: -0.231

a b c (Å): 4.672 4.672 7.182
angles (deg): 90.00 90.00 90.00
Space group P4/mmm (No. 123)
Unique sites:
1 Nd 0.000 0.000 0.000 (multiplicity 1)
2 Be 0.500 0.500 0.336 (multiplicity 2)
3 Cu 0.000 0.000 0.500 (multiplicity 1)
4 Au 0.000 0.500 0.297 (multiplicity 4)
5 Au 0.500 0.500 0.000 (multiplicity 1)



Entry 5:
BeCuOsAu2 | PBE | optimized geometry

Properties
Spin magnetization, μB per formula unit: 1.951
ρ, Mg/m³: 9.3
Fermi-level density of states, states/eV/cell: 5.25
E_tot, eV per atom: -3.430
Calculated formation energy, eV/atom: 1.691

a b c (Å): 5.028 5.028 4.652
angles (deg): 90.00 90.00 90.00
Space group P4/mmm (No. 123)
Unique sites:
1 Be 0.000 0.000 0.000 (multiplicity 1)
2 Cu 0.500 0.500 0.000 (multiplicity 1)
3 Os 0.500 0.500 0.500 (multiplicity 1)
4 Au 0.000 0.500 0.500 (multiplicity 2)



Entry 6:
BeCuPbAu6 | PBE | optimized geometry

Properties
Spin magnetization, μB per formula unit: 0.000
ρ, Mg/m³: 14.3
Fermi-level density of states, states/eV/cell: 9.12
E_tot, eV per atom: -3.433
Calculated formation energy, eV/atom: 0.033

a b c (Å): 6.906 8.724 11.244
angles (deg): 90.00 90.00 90.00
Space group Imma (No. 74)
Unique sites:
1 Be 0.000 0.000 0.000 (multiplicity 4)
2 Cu 0.250 0.250 0.250 (multiplicity 4)
3 Pb 0.000 0.250 0.793 (multiplicity 4)
4 Au 0.000 0.250 0.078 (multiplicity 4)
5 Au 0.000 0.250 0.498 (multiplicity 4)
6 Au 0.213 0.001 0.376 (multiplicity 16)



Entry 7:
BeCuPdAu | PBE | optimized geometry

Properties
Spin magnetization, μB per formula unit: 0.000
ρ, Mg/m³: 11.7
Fermi-level density of states, states/eV/cell: 1.18
E_tot, eV per atom: -4.325
Calculated formation energy, eV/atom: -0.252

a b c (Å): 2.837 2.837 6.624
angles (deg): 90.00 90.00 90.00
Space group P4mm (No. 99)
Unique sites:
1 Be 0.000 0.000 0.000 (multiplicity 1)
2 Cu 0.000 0.000 0.532 (multiplicity 1)
3 Pd 0.500 0.500 0.802 (multiplicity 1)
4 Au 0.500 0.500 0.245 (multiplicity 1)



Entry 8:
Pm2BeCuAu6 | PBE | optimized geometry

Properties
Spin magnetization, μB per formula unit: 0.000
ρ, Mg/m³: 12.4
Fermi-level density of states, states/eV/cell: 4.35
E_tot, eV per atom: -4.117
Calculated formation energy, eV/atom: -0.418

a b c (Å): 5.936 6.329 7.004
angles (deg): 69.61 65.09 62.16
Space group P-1 (No. 2)
Unique sites:
1 Pm 0.215 0.248 0.322 (multiplicity 2)
2 Be 0.000 0.000 0.000 (multiplicity 1)
3 Cu 0.500 0.500 0.500 (multiplicity 1)
4 Au 0.246 0.636 0.873 (multiplicity 2)
5 Au 0.246 0.788 0.231 (multiplicity 2)
6 Au 0.266 0.211 0.772 (multiplicity 2)



Entry 9:
PmBe2CuAu5 | PBE | optimized geometry

Properties
Spin magnetization, μB per formula unit: 0.000
ρ, Mg/m³: 12.9
Fermi-level density of states, states/eV/cell: 3.76
E_tot, eV per atom: -3.867
Calculated formation energy, eV/atom: -0.235

a b c (Å): 4.662 4.662 7.157
angles (deg): 90.00 90.00 90.00
Space group P4/mmm (No. 123)
Unique sites:
1 Pm 0.000 0.000 0.000 (multiplicity 1)
2 Be 0.500 0.500 0.337 (multiplicity 2)
3 Cu 0.000 0.000 0.500 (multiplicity 1)
4 Au 0.000 0.500 0.295 (multiplicity 4)
5 Au 0.500 0.500 0.000 (multiplicity 1)



Entry 10:
Pm2Be3Cu12Au | PBE | optimized geometry

Properties
Spin magnetization, μB per formula unit: 0.000
ρ, Mg/m³: 7.1
Fermi-level density of states, states/eV/cell: 25.14
E_tot, eV per atom: -3.747
Calculated formation energy, eV/atom: 0.315

a b c (Å): 7.4467 7.4467 18.6473
angles (deg): 90.00 90.00 120.00
Space group R-3m (No. 166, hexagonal axes)
Unique sites:
1 Pm 0.0000 0.0000 0.1052 (multiplicity 6)
2 Be 0.0000 0.5000 0.0000 (multiplicity 9)
3 Cu 0.0296 0.5148 0.8850 (multiplicity 18)
4 Cu 0.0361 0.5180 0.3571 (multiplicity 18)
5 Au 0.0000 0.0000 0.5000 (multiplicity 3)



Entry 11:
PrBe2CuAu5 | PBE | optimized geometry

Properties
Spin magnetization, μB per formula unit: 0.000
ρ, Mg/m³: 12.7
Fermi-level density of states, states/eV/cell: 3.86
E_tot, eV per atom: -3.863
Calculated formation energy, eV/atom: -0.228

a b c (Å): 4.682 4.682 7.213
angles (deg): 90.00 90.00 90.00
Space group P4/mmm (No. 123)
Unique sites:
1 Pr 0.000 0.000 0.000 (multiplicity 1)
2 Be 0.500 0.500 0.334 (multiplicity 2)
3 Cu 0.000 0.000 0.500 (multiplicity 1)
4 Au 0.000 0.500 0.299 (multiplicity 4)
5 Au 0.500 0.500 0.000 (multiplicity 1)



Entry 12:
BeCu5Si2Au2 | PBE | optimized geometry

Properties
Uncorrected formation energy, meV per atom: 49
Spin magnetization, μB per formula unit: 0.000
ρ, Mg/m³: 9.5
Fermi-level density of states, states/eV/cell: 4.52
E_tot, eV per atom: -4.111

a b c (Å): 8.501 8.501 3.752
angles (deg): 90.00 90.00 90.00
Space group P4/mbm (No. 127)
Unique sites:
1 Be 0.000 0.000 0.000 (multiplicity 2)
2 Cu 0.000 0.500 0.500 (multiplicity 2)
3 Cu 0.066 0.195 0.500 (multiplicity 8)
4 Si 0.124 0.376 0.000 (multiplicity 4)
5 Au 0.175 0.675 0.000 (multiplicity 4)



Entry 13:
SmBe2CuAu5 | PBE | optimized geometry

Properties
Spin magnetization, μB per formula unit: 0.000
ρ, Mg/m³: 13.1
Fermi-level density of states, states/eV/cell: 3.77
E_tot, eV per atom: -3.864
Calculated formation energy, eV/atom: -0.236

a b c (Å): 4.654 4.654 7.140
angles (deg): 90.00 90.00 90.00
Space group P4/mmm (No. 123)
Unique sites:
1 Sm 0.000 0.000 0.000 (multiplicity 1)
2 Be 0.500 0.500 0.338 (multiplicity 2)
3 Cu 0.000 0.000 0.500 (multiplicity 1)
4 Au 0.000 0.500 0.294 (multiplicity 4)
5 Au 0.500 0.500 0.000 (multiplicity 1)



Entry 14:
SmBeCuAu6 | PBE | optimized geometry

Properties
Spin magnetization, μB per formula unit: 0.000
ρ, Mg/m³: 13.7
Fermi-level density of states, states/eV/cell: 14.11
E_tot, eV per atom: -3.789
Calculated formation energy, eV/atom: -0.210

a b c (Å): 7.095 8.779 10.929
angles (deg): 90.00 90.00 90.00
Space group Imma (No. 74)
Unique sites:
1 Sm 0.000 0.250 0.216 (multiplicity 4)
2 Be 0.000 0.000 0.000 (multiplicity 4)
3 Cu 0.250 0.250 0.750 (multiplicity 4)
4 Au 0.000 0.250 0.510 (multiplicity 4)
5 Au 0.000 0.250 0.927 (multiplicity 4)
6 Au 0.214 0.006 0.375 (multiplicity 16)



Entry 15:
Sm2Be3Cu12Au | PBE | optimized geometry

Properties
Spin magnetization, μB per formula unit: 0.000
ρ, Mg/m³: 7.2
Fermi-level density of states, states/eV/cell: 24.65
E_tot, eV per atom: -3.742
Calculated formation energy, eV/atom: 0.317

a b c (Å): 7.4344 7.4344 18.6284
angles (deg): 90.00 90.00 120.00
Space group R-3m (No. 166, hexagonal axes)
Unique sites:
1 Sm 0.0000 0.0000 0.1045 (multiplicity 6)
2 Be 0.0000 0.5000 0.0000 (multiplicity 9)
3 Cu 0.0316 0.5158 0.8846 (multiplicity 18)
4 Cu 0.0355 0.5177 0.3572 (multiplicity 18)
5 Au 0.0000 0.0000 0.5000 (multiplicity 3)



Entry 16:
Sr2Be3CuAu12 | PBE | optimized geometry

Properties
Spin magnetization, μB per formula unit: 0.000
ρ, Mg/m³: 11.3
Fermi-level density of states, states/eV/cell: 17.98
E_tot, eV per atom: -3.388
Calculated formation energy, eV/atom: -0.167

a b c (Å): 8.3258 8.3258 19.3260
angles (deg): 90.00 90.00 120.00
Space group R-3m (No. 166, hexagonal axes)
Unique sites:
1 Sr 0.0000 0.0000 0.1132 (multiplicity 6)
2 Be 0.0000 0.5000 0.0000 (multiplicity 9)
3 Cu 0.0000 0.0000 0.5000 (multiplicity 3)
4 Au 0.0121 0.5061 0.1180 (multiplicity 18)
5 Au 0.0439 0.5219 0.3594 (multiplicity 18)



Entry 17:
SrBeCuAu2 | PBE | optimized geometry

Properties
Spin magnetization, μB per formula unit: 0.000
ρ, Mg/m³: 9.6
Fermi-level density of states, states/eV/cell: 1.50
E_tot, eV per atom: -3.490
Calculated formation energy, eV/atom: -0.278

a b c (Å): 4.638 4.638 4.451
angles (deg): 90.00 90.00 90.00
Space group P4/mmm (No. 123)
Unique sites:
1 Sr 0.000 0.000 0.000 (multiplicity 1)
2 Be 0.500 0.500 0.500 (multiplicity 1)
3 Cu 0.500 0.500 0.000 (multiplicity 1)
4 Au 0.000 0.500 0.500 (multiplicity 2)



Entry 18:
Tb2Be3Cu12Au | PBE | optimized geometry

Properties
Spin magnetization, μB per formula unit: 0.000
ρ, Mg/m³: 7.4
Fermi-level density of states, states/eV/cell: 22.35
E_tot, eV per atom: -3.729
Calculated formation energy, eV/atom: 0.320

a b c (Å): 7.4088 7.4088 18.4684
angles (deg): 90.00 90.00 120.00
Space group R-3m (No. 166, hexagonal axes)
Unique sites:
1 Tb 0.0000 0.0000 0.1022 (multiplicity 6)
2 Be 0.0000 0.5000 0.0000 (multiplicity 9)
3 Cu 0.0338 0.5169 0.3573 (multiplicity 18)
4 Cu 0.0373 0.5187 0.8830 (multiplicity 18)
5 Au 0.0000 0.0000 0.5000 (multiplicity 3)



Entry 19:
Th2Be3Cu12Au | PBE | optimized geometry

Properties
Spin magnetization, μB per formula unit: 0.000
ρ, Mg/m³: 8.1
Fermi-level density of states, states/eV/cell: 22.07
E_tot, eV per atom: -4.030
Calculated formation energy, eV/atom: 0.328

a b c (Å): 7.5079 7.5079 18.2037
angles (deg): 90.00 90.00 120.00
Space group R-3m (No. 166, hexagonal axes)
Unique sites:
1 Th 0.0000 0.0000 0.1021 (multiplicity 6)
2 Be 0.0000 0.5000 0.0000 (multiplicity 9)
3 Cu 0.0304 0.5152 0.8823 (multiplicity 18)
4 Cu 0.0398 0.5199 0.3547 (multiplicity 18)
5 Au 0.0000 0.0000 0.5000 (multiplicity 3)



Entry 20:
BeVCuAu | PBE | optimized geometry

Properties
Spin magnetization, μB per formula unit: 1.377
ρ, Mg/m³: 10.2
Fermi-level density of states, states/eV/cell: 15.74
E_tot, eV per atom: -4.971
Calculated formation energy, eV/atom: 0.084

a b c (Å): 5.929 5.929 5.929
angles (deg): 90.00 90.00 90.00
Space group F-43m (No. 216)
Unique sites:
1 Be 0.000 0.000 0.000 (multiplicity 4)
2 V 0.250 0.250 0.750 (multiplicity 4)
3 Cu 0.000 0.000 0.500 (multiplicity 4)
4 Au 0.250 0.250 0.250 (multiplicity 4)